VASP calculation (PBEsol) on an optimized crystal structure of AlH6IO4.

Summary:
Magnetic moment: 0.0 μB/cell
DFT total energy: -5.246 eV per atom

```
AlH6IO4
1.0
4.715 -6.766 0.000
4.715 6.766 0.000
-2.750 0.000 4.409
Al H I O
2 12 2 8
Direct
0.049 0.951 0.750
0.951 0.049 0.250
0.102 0.393 0.290
0.127 0.700 0.886
0.155 0.301 0.817
0.300 0.873 0.614
0.301 0.155 0.317
0.393 0.102 0.790
0.607 0.898 0.210
0.699 0.845 0.683
0.700 0.127 0.386
0.845 0.699 0.183
0.873 0.300 0.114
0.898 0.607 0.710
0.350 0.650 0.250
0.650 0.350 0.750
0.021 0.701 0.730
0.087 0.164 0.669
0.164 0.087 0.169
0.299 0.979 0.770
0.701 0.021 0.230
0.836 0.913 0.831
0.913 0.836 0.331
0.979 0.299 0.270
```

VASP calculation (PBEsol) on an optimized crystal structure of Al3HIr.

Summary:
Magnetic moment: 0.0 μB/cell
DFT total energy: -5.295 eV per atom

```
Al3HIr
1.0
3.886 0.000 0.000
0.000 3.886 0.000
0.000 0.000 3.886
Al H Ir
3 1 1
Direct
0.000 0.000 0.500
0.000 0.500 0.000
0.500 0.000 0.000
0.000 0.000 0.000
0.500 0.500 0.500
```

VASP calculation (PBEsol) on an optimized crystal structure of Al2HIr2.

Summary:
Magnetic moment: 0.0 μB/cell
DFT total energy: -6.296 eV per atom

```
Al2HIr2
1.0
6.790 0.000 0.000
0.000 6.790 0.000
0.000 0.000 2.976
Al H Ir
4 2 4
Direct
0.144 0.356 0.000
0.356 0.856 0.000
0.644 0.144 0.000
0.856 0.644 0.000
0.000 0.000 0.500
0.500 0.500 0.500
0.156 0.656 0.500
0.344 0.156 0.500
0.656 0.844 0.500
0.844 0.344 0.500
```

VASP calculation (PBEsol) on an optimized crystal structure of K2AlH.

Summary:
Magnetic moment: 1.3 μB/cell
DFT total energy: -1.760 eV per atom

```
K2AlH
1.0
0.000 3.989 3.989
3.989 0.000 3.989
3.989 3.989 0.000
K Al H
2 1 1
Direct
0.250 0.250 0.250
0.750 0.750 0.750
0.000 0.000 0.000
0.500 0.500 0.500
```

VASP calculation (PBEsol) on an optimized crystal structure of KNa3Al12H24S8O56.

Summary:
Magnetic moment: 0.0 μB/cell
DFT total energy: -6.328 eV per atom

```
KNa3Al12H24S8O56
1.0
11.774 0.000 0.000
0.000 6.981 0.000
-4.139 0.000 11.361
K Na Al H S O
1 3 12 24 8 56
Direct
0.000 0.000 0.000
0.000 0.500 0.500
0.500 0.000 0.500
0.500 0.500 0.000
0.250 0.250 0.500
0.250 0.750 0.500
0.251 0.500 0.750
0.254 0.000 0.252
0.255 0.251 0.001
0.255 0.749 0.001
0.745 0.251 0.999
0.745 0.749 0.999
0.746 0.000 0.748
0.749 0.500 0.250
0.750 0.250 0.500
0.750 0.750 0.500
0.167 0.500 0.356
0.168 0.201 0.656
0.168 0.799 0.656
0.171 0.299 0.157
0.171 0.701 0.157
0.172 0.000 0.858
0.331 0.000 0.644
0.333 0.201 0.844
0.333 0.300 0.345
0.333 0.700 0.345
0.333 0.799 0.844
0.335 0.500 0.145
0.665 0.500 0.855
0.667 0.201 0.156
0.667 0.300 0.655
0.667 0.700 0.655
0.667 0.799 0.156
0.669 0.000 0.356
0.828 0.000 0.142
0.829 0.299 0.843
0.829 0.701 0.843
0.832 0.201 0.344
0.832 0.799 0.344
0.833 0.500 0.644
0.039 0.000 0.346
0.040 0.500 0.847
0.463 0.500 0.654
0.466 0.000 0.156
0.534 0.000 0.844
0.537 0.500 0.346
0.960 0.500 0.153
0.961 0.000 0.654
0.082 0.174 0.419
0.082 0.826 0.419
0.084 0.500 0.745
0.085 0.000 0.246
0.086 0.326 0.920
0.086 0.674 0.920
0.093 0.500 0.196
0.094 0.000 0.700
0.207 0.312 0.632
0.207 0.500 0.443
0.207 0.688 0.632
0.213 0.000 0.945
0.213 0.190 0.134
0.213 0.810 0.134
0.293 0.000 0.557
0.295 0.188 0.369
0.295 0.812 0.369
0.296 0.312 0.869
0.296 0.688 0.869
0.298 0.500 0.058
0.401 0.000 0.799
0.404 0.500 0.302
0.418 0.326 0.581
0.418 0.674 0.581
0.419 0.500 0.755
0.421 0.000 0.257
0.422 0.174 0.083
0.422 0.826 0.083
0.578 0.174 0.917
0.578 0.826 0.917
0.579 0.000 0.743
0.581 0.500 0.245
0.582 0.326 0.419
0.582 0.674 0.419
0.596 0.500 0.698
0.599 0.000 0.201
0.702 0.500 0.942
0.704 0.312 0.131
0.704 0.688 0.131
0.705 0.188 0.631
0.705 0.812 0.631
0.707 0.000 0.443
0.787 0.000 0.055
0.787 0.190 0.866
0.787 0.810 0.866
0.793 0.312 0.368
0.793 0.500 0.557
0.793 0.688 0.368
0.906 0.000 0.300
0.907 0.500 0.804
0.914 0.326 0.080
0.914 0.674 0.080
0.915 0.000 0.754
0.916 0.500 0.255
0.918 0.174 0.581
0.918 0.826 0.581
```

VASP calculation (PBEsol) on an optimized crystal structure of KAl2P2H5O11.

Summary:
Magnetic moment: 0.0 μB/cell
DFT total energy: -6.623 eV per atom

```
KAl2P2H5O11
1.0
9.447 0.000 0.000
0.000 9.361 0.000
-7.338 0.000 9.272
K Al P H O
4 8 8 20 44
Direct
0.118 0.194 0.016
0.118 0.306 0.516
0.882 0.694 0.484
0.882 0.806 0.984
0.213 0.723 0.405
0.213 0.777 0.905
0.478 0.050 0.606
0.478 0.450 0.106
0.522 0.550 0.894
0.522 0.950 0.394
0.787 0.223 0.095
0.787 0.277 0.595
0.147 0.025 0.293
0.147 0.475 0.793
0.340 0.680 0.212
0.340 0.820 0.712
0.660 0.180 0.288
0.660 0.320 0.788
0.853 0.525 0.207
0.853 0.975 0.707
0.147 0.142 0.770
0.147 0.358 0.270
0.308 0.088 0.768
0.308 0.412 0.268
0.342 0.027 0.946
0.342 0.473 0.446
0.429 0.529 0.612
0.429 0.971 0.112
0.451 0.204 0.426
0.451 0.296 0.926
0.549 0.704 0.074
0.549 0.796 0.574
0.571 0.029 0.888
0.571 0.471 0.388
0.658 0.527 0.554
0.658 0.973 0.054
0.692 0.588 0.732
0.692 0.912 0.232
0.853 0.642 0.730
0.853 0.858 0.230
0.004 0.618 0.327
0.004 0.882 0.827
0.067 0.622 0.789
0.067 0.878 0.289
0.214 0.731 0.055
0.214 0.769 0.555
0.229 0.664 0.264
0.229 0.836 0.764
0.242 0.091 0.445
0.242 0.409 0.945
0.281 0.146 0.823
0.281 0.354 0.323
0.282 0.004 0.261
0.282 0.496 0.761
0.355 0.556 0.508
0.355 0.944 0.008
0.415 0.528 0.217
0.415 0.972 0.717
0.445 0.639 0.004
0.445 0.861 0.504
0.494 0.224 0.689
0.494 0.276 0.189
0.506 0.724 0.811
0.506 0.776 0.311
0.555 0.139 0.496
0.555 0.361 0.996
0.585 0.028 0.283
0.585 0.472 0.783
0.645 0.056 0.992
0.645 0.444 0.492
0.718 0.504 0.239
0.718 0.996 0.739
0.719 0.646 0.677
0.719 0.854 0.177
0.758 0.591 0.055
0.758 0.909 0.555
0.771 0.164 0.236
0.771 0.336 0.736
0.786 0.231 0.445
0.786 0.269 0.945
0.933 0.122 0.711
0.933 0.378 0.211
0.996 0.118 0.173
0.996 0.382 0.673
```

VASP calculation (PBEsol) on an optimized crystal structure of KAl3Si3H2O12.

Summary:
Magnetic moment: 0.0 μB/cell
DFT total energy: -7.411 eV per atom

```
KAl3Si3H2O12
1.0
5.186 0.000 0.000
0.000 8.989 0.000
-1.832 0.000 20.275
K Al Si H O
4 12 12 8 48
Direct
0.000 0.097 0.250
0.000 0.903 0.750
0.500 0.390 0.750
0.500 0.610 0.250
0.040 0.238 0.866
0.040 0.762 0.366
0.247 0.084 0.999
0.247 0.916 0.499
0.251 0.414 0.999
0.251 0.586 0.499
0.749 0.414 0.501
0.749 0.586 0.001
0.753 0.084 0.501
0.753 0.916 0.001
0.960 0.238 0.634
0.960 0.762 0.134
0.043 0.432 0.366
0.043 0.568 0.866
0.445 0.258 0.133
0.445 0.742 0.633
0.479 0.068 0.635
0.479 0.932 0.135
0.521 0.068 0.865
0.521 0.932 0.365
0.555 0.258 0.367
0.555 0.742 0.867
0.957 0.432 0.134
0.957 0.568 0.634
0.137 0.158 0.445
0.137 0.842 0.945
0.380 0.357 0.570
0.380 0.643 0.070
0.620 0.357 0.930
0.620 0.643 0.430
0.863 0.158 0.055
0.863 0.842 0.555
0.038 0.443 0.446
0.038 0.557 0.946
0.045 0.065 0.451
0.045 0.935 0.951
0.094 0.413 0.831
0.094 0.587 0.331
0.123 0.250 0.951
0.123 0.750 0.451
0.235 0.107 0.831
0.235 0.893 0.331
0.241 0.368 0.166
0.241 0.632 0.666
0.257 0.309 0.345
0.257 0.691 0.845
0.285 0.197 0.655
0.285 0.803 0.155
0.392 0.251 0.053
0.392 0.749 0.553
0.403 0.095 0.166
0.403 0.905 0.666
0.456 0.443 0.550
0.456 0.557 0.050
0.466 0.050 0.554
0.466 0.950 0.054
0.534 0.050 0.946
0.534 0.950 0.446
0.544 0.443 0.950
0.544 0.557 0.450
0.597 0.095 0.334
0.597 0.905 0.834
0.608 0.251 0.447
0.608 0.749 0.947
0.715 0.197 0.845
0.715 0.803 0.345
0.743 0.309 0.155
0.743 0.691 0.655
0.759 0.368 0.334
0.759 0.632 0.834
0.765 0.107 0.669
0.765 0.893 0.169
0.877 0.250 0.549
0.877 0.750 0.049
0.906 0.413 0.669
0.906 0.587 0.169
0.955 0.065 0.049
0.955 0.935 0.549
0.962 0.443 0.054
0.962 0.557 0.554
```

VASP calculation (PBEsol) on an optimized crystal structure of LaAl2H.

Summary:
Magnetic moment: 0.0 μB/cell
DFT total energy: -4.351 eV per atom

```
LaAl2H
1.0
0.000 4.139 4.139
4.139 0.000 4.139
4.139 4.139 0.000
La Al H
2 4 2
Direct
0.125 0.125 0.125
0.875 0.875 0.875
0.000 0.500 0.500
0.500 0.000 0.500
0.500 0.500 0.000
0.500 0.500 0.500
0.375 0.375 0.375
0.625 0.625 0.625
```